Entry 1:
The following is a PBE-GGA calculation of CsURhO6 after structural relaxation, from Alexandria.

Values from the calculation:
The crystal system is orthorhombic. As for the total energy: -266.259 eV for the cell shown. Its size of the total moment is 0.091 μB/atom. The calculation puts the formation energy (no corrections) at -1.92 eV/atom.

Lattice parameters (Å, degrees): 7.2696 7.9259 10.7551 90.00 90.00 90.00
Last column: nearest neighbours and their distance in Å.
Space group Imma (No. 74)
Inequivalent atoms, fractional coordinates:
Cs: 0.0000 0.2500 0.1173 x4  12 O 3.30-3.69
U: 0.0000 0.0000 0.5000 x4  6 O 2.04-2.14
Rh: 0.2500 0.2500 0.7500 x4  6 O 1.92-1.99
O: 0.0000 0.2500 0.4238 x4  2 U 2.14
O: 0.0000 0.2500 0.8070 x4  2 Rh 1.92
O: 0.1978 0.0714 0.6244 x16  1 Rh 1.99, 1 U 2.04


Entry 2:
The following is a PBE-GGA calculation of Cs2U3RhO12 after structural relaxation, from Alexandria.

Values from the calculation:
The crystal system is trigonal. As for the total energy: -444.391 eV for the cell shown. Its size of the total moment is 0.058 μB/atom. The calculation puts the formation energy (no corrections) at -2.54 eV/atom.

Lattice parameters (Å, degrees): 7.9365 7.9365 18.2004 90.00 90.00 120.00
Last column: nearest neighbours and their distance in Å.
Space group R-3m (No. 166, hexagonal axes)
Inequivalent atoms, fractional coordinates:
Cs: 0.0000 0.0000 0.1280 x6  9 O 3.38-3.68
U: 0.0000 0.5000 0.0000 x9  6 O 2.01-2.13
Rh: 0.0000 0.0000 0.5000 x3  6 O 2.00
O: 0.0797 0.5399 0.3608 x18  2 U 2.13
O: 0.0940 0.5470 0.1046 x18  1 Rh 2.00, 1 U 2.01